# MnSbTe2O8 (GGA+U, optimized geometry)
# E: -70.271 eV for the cell shown
# magnetic moment: 2.01 μB/f.u.
# density: 5.8 g/cm3
data_MnSbTe2O8
_chemical_formula_sum 'Mn1 Sb1 Te2 O8'
_space_group_name_H-M_alt 'P 1'
_space_group_IT_number 1
_cell_length_a 4.943
_cell_length_b 5.026
_cell_length_c 6.478
_cell_angle_alpha 89.59
_cell_angle_beta 89.10
_cell_angle_gamma 87.70
loop_
_space_group_symop_operation_xyz
'x,y,z'
loop_
_atom_site_label
_atom_site_fract_x
_atom_site_fract_y
_atom_site_fract_z
_atom_site_occupancy
Mn1 0.000 0.000 0.000 1
Sb1 0.000 0.000 0.500 1
Te1 0.456 0.446 0.757 1
Te2 0.544 0.554 0.243 1
O1 0.159 0.805 0.745 1
O2 0.216 0.839 0.256 1
O3 0.265 0.271 0.972 1
O4 0.283 0.292 0.523 1
O5 0.717 0.708 0.477 1
O6 0.735 0.729 0.028 1
O7 0.784 0.161 0.744 1
O8 0.841 0.195 0.255 1